An optimized crystal structure of BRuIN2, computed with PBE-GGA.

Cell lengths 3.4474, 3.4474, 6.8238 Å; angles 90.00, 90.00, 90.00 degrees
Closest atoms and distances in Å follow each position.
Positions (direct):
B1 0.0000 0.0000 0.0000  4 N 1.72
Ru1 0.5000 0.5000 0.5000  4 I 2.44
I1 0.0000 0.0000 0.5000  4 Ru 2.44
N1 0.0000 0.5000 0.0000  2 B 1.72
N2 0.5000 0.0000 0.0000  2 B 1.72

**Excess energy over the best structure of this formula in the dataset**: 370 meV/atom
**Symmetry**: No. 123
**E**: -24.56 eV/f.u.
**Formation energy without anion corrections**: 1.918 eV per atom